The following is a PBE calculation of a geometry-optimized Tl2NiPdS4 structure, from the Alexandria database.

a b c (Å): 5.5794 7.2711 10.5776
angles (deg): 84.19 74.71 67.44
With the nearest neighbours (Å) after each atom.
Atoms (fractional coordinates):
Tl1 0.1876 0.0000 0.6248  8 S 3.25-3.60
Tl2 0.8124 0.0000 0.3752  8 S 3.25-3.60
Tl3 0.5624 0.5000 0.8752  8 S 3.25-3.60
Tl4 0.9376 0.5000 0.1248  8 S 3.25-3.60
Ni1 0.2500 0.5000 0.5000  4 S 2.18
Ni2 0.5000 0.0000 0.0000  4 S 2.18
Pd1 0.7500 0.5000 0.5000  4 S 2.35
Pd2 0.0000 0.0000 0.0000  4 S 2.35
S1 0.3071 0.8118 0.1233  1 Ni 2.18, 1 Pd 2.35
S2 0.2422 0.1882 0.8767  1 Ni 2.18, 1 Pd 2.35
S3 0.8810 0.8118 0.8767  1 Ni 2.18, 1 Pd 2.35
S4 0.5696 0.1882 0.1233  1 Ni 2.18, 1 Pd 2.35
S5 0.4429 0.6882 0.3767  1 Ni 2.18, 1 Pd 2.35
S6 0.5078 0.3118 0.6233  1 Ni 2.18, 1 Pd 2.35
S7 0.8690 0.6882 0.6233  1 Ni 2.18, 1 Pd 2.35
S8 0.1804 0.3118 0.3767  1 Ni 2.18, 1 Pd 2.35

## Properties
Electronic total energy (eV per atom): -4.180
Formation energy from raw total energies (eV/atom): -0.153
Space group: Fddd, No. 70
V (Å³/atom): 23.89
Total magnetization (Bohr magnetons per cell): 0.00